DFT (meta-GGA SCAN) results for a PBEsol-optimized structure of La2ReSiBi.

Output
The value obtained for the raw formation energy is -0.0524 eV/atom. The space-group type is P4/mmm. The energy comes out at -49.233 eV/atom. For the density, the calculation gives 8.267 g/cm3. The calculated volume comes out at 28.2 Å³/atom. For the total magnetization, the calculation gives 0.00 μB per cell.

a = 5.592 Å, b = 5.592 Å, c = 4.503 Å
α = 90.00°, β = 90.00°, γ = 90.00°
Sites, in units of the cell vectors:
La: 0.000 0.500 0.000
La: 0.500 0.000 0.000
Re: 0.000 0.000 0.500
Si: 0.000 0.000 0.000
Bi: 0.500 0.500 0.500



DFT (meta-GGA SCAN) results for a PBEsol-optimized structure of CoCuBr.

Output
The value obtained for the raw formation energy is 0.6522 eV/atom. The space-group type is I4mm. The energy comes out at -16.669 eV/atom. For the density, the calculation gives 7.539 g/cm3. The calculated volume comes out at 14.9 Å³/atom. For the total magnetization, the calculation gives 2.15 μB per cell.

a = 5.364 Å, b = 5.364 Å, c = 5.364 Å
α = 147.42°, β = 147.42°, γ = 46.74°
Sites, in units of the cell vectors:
Co: 0.000 0.000 0.000
Cu: 0.644 0.644 0.000
Br: 0.357 0.357 0.000



DFT (meta-GGA SCAN) results for a PBEsol-optimized structure of CaTaSb2.

Output
The value obtained for the raw formation energy is 0.0908 eV/atom. The space-group type is I-4m2. The energy comes out at -37.601 eV/atom. The calculation puts the energy above the most stable polymorph in this dataset at 425 meV per atom. For the density, the calculation gives 8.548 g/cm3. The calculated volume comes out at 22.6 Å³/atom. For the total magnetization, the calculation gives 1.18 μB per cell.

a = 5.861 Å, b = 5.861 Å, c = 5.861 Å
α = 137.67°, β = 137.67°, γ = 61.41°
Sites, in units of the cell vectors:
Ca: 0.000 0.000 0.000
Ta: 0.250 0.750 0.500
Sb: 0.500 0.500 0.000
Sb: 0.750 0.250 0.500



DFT (meta-GGA SCAN) results for a PBEsol-optimized structure of LaCuSi2.

Output
The value obtained for the raw formation energy is -0.3313 eV/atom. The space-group type is Pm. The energy comes out at -19.915 eV/atom. For the density, the calculation gives 5.259 g/cm3. The calculated volume comes out at 20.4 Å³/atom. For the total magnetization, the calculation gives 0.00 μB per cell.

a = 4.332 Å, b = 4.029 Å, c = 4.695 Å
α = 90.00°, β = 94.86°, γ = 90.00°
Sites, in units of the cell vectors:
La: 0.000 0.000 0.000
Cu: 0.394 0.500 0.668
Si: 0.544 0.000 0.459
Si: 0.887 0.500 0.482



- The lowest density belongs to which entry?
  LaCuSi2



- calculated volume of number 1 (La2ReSiBi)?
  28.2 Å³/atom